Entry 1:
# Dy3Ho2Tm2 GGA-PBE optimized geometry
data_Dy3Ho2Tm2
_symmetry_space_group_name_H-M 'P 1'
_symmetry_Int_Tables_number 1
_symmetry_space_group_name_Hall 'P 1'
_cell_length_a 3.4661
_cell_length_b 8.4058
_cell_length_c 8.7781
_cell_angle_alpha 118.51
_cell_angle_beta 101.39
_cell_angle_gamma 90.00
loop_
_atom_site_label
_atom_site_type_symbol
_atom_site_fract_x
_atom_site_fract_y
_atom_site_fract_z
Tm1 Tm 0.8531 0.6747 0.7063
Tm2 Tm 0.1469 0.3253 0.2937
Dy1 Dy 0.7881 0.2001 0.5761
Dy2 Dy 0.2119 0.7999 0.4239
Dy3 Dy 0.0000 0.5000 0.0000
Ho1 Ho 0.5654 0.9097 0.1308
Ho2 Ho 0.4346 0.0903 0.8692
# Offset from the most stable computed form: 2.20 kcal/mol of atoms



Entry 2:
# La2Ge4PtRh3 GGA-PBE optimized geometry
data_La2Ge4PtRh3
_symmetry_space_group_name_H-M 'P 1'
_symmetry_Int_Tables_number 1
_symmetry_space_group_name_Hall 'P 1'
_cell_length_a 4.3031
_cell_length_b 4.3031
_cell_length_c 10.3077
_cell_angle_alpha 90.00
_cell_angle_beta 90.00
_cell_angle_gamma 90.00
loop_
_atom_site_label
_atom_site_type_symbol
_atom_site_fract_x
_atom_site_fract_y
_atom_site_fract_z
Rh1 Rh 0.0000 0.0000 0.5000
Rh2 Rh 0.0000 0.5000 0.1261
Rh3 Rh 0.5000 0.0000 0.8739
Ge1 Ge 0.5000 0.5000 0.0000
Ge2 Ge 0.5000 0.0000 0.6346
Ge3 Ge 0.0000 0.5000 0.3654
Ge4 Ge 0.0000 0.0000 0.0000
La1 La 0.0000 0.5000 0.7598
La2 La 0.5000 0.0000 0.2402
Pt1 Pt 0.5000 0.5000 0.5000
# Calculated total energy: -6.546 eV/atom



Entry 3:
# La2Sm3NpN6 GGA-PBE optimized geometry
data_La2Sm3NpN6
_symmetry_space_group_name_H-M 'P 1'
_symmetry_Int_Tables_number 1
_symmetry_space_group_name_Hall 'P 1'
_cell_length_a 6.2650
_cell_length_b 6.2650
_cell_length_c 6.2091
_cell_angle_alpha 99.70
_cell_angle_beta 99.70
_cell_angle_gamma 120.01
loop_
_atom_site_label
_atom_site_type_symbol
_atom_site_fract_x
_atom_site_fract_y
_atom_site_fract_z
N1 N 0.3779 0.0791 0.2377
N2 N 0.6221 0.9209 0.7623
N3 N 0.2226 0.2226 0.7572
N4 N 0.9209 0.6221 0.7623
N5 N 0.0791 0.3779 0.2377
N6 N 0.7774 0.7774 0.2428
Np1 Np 0.0000 0.0000 0.0000
Sm1 Sm 0.8363 0.1637 0.5000
Sm2 Sm 0.5000 0.5000 0.5000
Sm3 Sm 0.1637 0.8363 0.5000
La1 La 0.3336 0.6664 0.0000
La2 La 0.6664 0.3336 0.0000
# Formation energy from raw total energies: -1.37 eV per atom



Entry 4:
# HfN2 GGA-PBE optimized geometry
data_HfN2
_symmetry_space_group_name_H-M 'P 1'
_symmetry_Int_Tables_number 1
_symmetry_space_group_name_Hall 'P 1'
_cell_length_a 3.2589
_cell_length_b 3.2589
_cell_length_c 7.6027
_cell_angle_alpha 90.00
_cell_angle_beta 90.00
_cell_angle_gamma 120.00
loop_
_atom_site_label
_atom_site_type_symbol
_atom_site_fract_x
_atom_site_fract_y
_atom_site_fract_z
Hf1 Hf 0.6667 0.3333 0.2500
Hf2 Hf 0.3333 0.6667 0.7500
N1 N 0.0000 0.0000 0.4059
N2 N 0.0000 0.0000 0.0941
N3 N 0.0000 0.0000 0.5941
N4 N 0.0000 0.0000 0.9059
# Formation energy from raw total energies: -0.76 eV per atom



Entry 5:
# Hf2H2Ru GGA-PBE optimized geometry
data_Hf2H2Ru
_symmetry_space_group_name_H-M 'P 1'
_symmetry_Int_Tables_number 1
_symmetry_space_group_name_Hall 'P 1'
_cell_length_a 3.1456
_cell_length_b 3.1456
_cell_length_c 6.3862
_cell_angle_alpha 90.00
_cell_angle_beta 90.00
_cell_angle_gamma 90.00
loop_
_atom_site_label
_atom_site_type_symbol
_atom_site_fract_x
_atom_site_fract_y
_atom_site_fract_z
H1 H 0.5000 0.0000 0.5000
H2 H 0.0000 0.5000 0.5000
Ru1 Ru 0.0000 0.0000 0.0000
Hf1 Hf 0.5000 0.5000 0.7414
Hf2 Hf 0.5000 0.5000 0.2586
# Offset from the most stable computed form: 3.61 kcal/mol of atoms



Entry 6:
# BaYIr3 GGA-PBE optimized geometry
data_BaYIr3
_symmetry_space_group_name_H-M 'P 1'
_symmetry_Int_Tables_number 1
_symmetry_space_group_name_Hall 'P 1'
_cell_length_a 5.1590
_cell_length_b 5.1590
_cell_length_c 5.1590
_cell_angle_alpha 90.00
_cell_angle_beta 90.00
_cell_angle_gamma 90.00
loop_
_atom_site_label
_atom_site_type_symbol
_atom_site_fract_x
_atom_site_fract_y
_atom_site_fract_z
Ir1 Ir 0.5000 0.0000 0.0000
Ir2 Ir 0.0000 0.0000 0.5000
Ir3 Ir 0.0000 0.5000 0.0000
Y1 Y 0.0000 0.0000 0.0000
Ba1 Ba 0.5000 0.5000 0.5000
# Offset from the most stable computed form: 0.00 kcal/mol of atoms



Entry 7:
# Ce8Re13B12 GGA-PBE optimized geometry
data_Ce8Re13B12
_symmetry_space_group_name_H-M 'P 1'
_symmetry_Int_Tables_number 1
_symmetry_space_group_name_Hall 'P 1'
_cell_length_a 7.8390
_cell_length_b 7.8390
_cell_length_c 7.8390
_cell_angle_alpha 85.97
_cell_angle_beta 85.97
_cell_angle_gamma 85.97
loop_
_atom_site_label
_atom_site_type_symbol
_atom_site_fract_x
_atom_site_fract_y
_atom_site_fract_z
Re1 Re 0.9330 0.4047 0.4047
Re2 Re 0.5953 0.0670 0.5953
Re3 Re 0.6715 0.9252 0.9252
Re4 Re 0.0748 0.3285 0.0748
Re5 Re 0.0000 0.0000 0.0000
Re6 Re 0.9252 0.9252 0.6715
Re7 Re 0.4047 0.4047 0.9330
Re8 Re 0.4047 0.9330 0.4047
Re9 Re 0.0670 0.5953 0.5953
Re10 Re 0.3285 0.0748 0.0748
Re11 Re 0.0748 0.0748 0.3285
Re12 Re 0.5953 0.5953 0.0670
Re13 Re 0.9252 0.6715 0.9252
Ce1 Ce 0.8161 0.3204 0.8161
Ce2 Ce 0.1839 0.1839 0.6796
Ce3 Ce 0.3536 0.3536 0.3536
Ce4 Ce 0.3204 0.8161 0.8161
Ce5 Ce 0.8161 0.8161 0.3204
Ce6 Ce 0.1839 0.6796 0.1839
Ce7 Ce 0.6796 0.1839 0.1839
Ce8 Ce 0.6464 0.6464 0.6464
B1 B 0.1532 0.5000 0.8468
B2 B 0.5000 0.8468 0.1532
B3 B 0.5000 0.1532 0.8468
B4 B 0.6714 0.3286 0.5000
B5 B 0.3286 0.5000 0.6714
B6 B 0.6714 0.5000 0.3286
B7 B 0.8468 0.5000 0.1532
B8 B 0.3286 0.6714 0.5000
B9 B 0.5000 0.6714 0.3286
B10 B 0.5000 0.3286 0.6714
B11 B 0.8468 0.1532 0.5000
B12 B 0.1532 0.8468 0.5000
# Calculated total energy: -9.165 eV/atom



Entry 8:
# Cu2Au GGA-PBE optimized geometry
data_Cu2Au
_symmetry_space_group_name_H-M 'P 1'
_symmetry_Int_Tables_number 1
_symmetry_space_group_name_Hall 'P 1'
_cell_length_a 5.2295
_cell_length_b 5.2295
_cell_length_c 5.2295
_cell_angle_alpha 124.54
_cell_angle_beta 124.54
_cell_angle_gamma 82.31
loop_
_atom_site_label
_atom_site_type_symbol
_atom_site_fract_x
_atom_site_fract_y
_atom_site_fract_z
Au1 Au 0.7500 0.7500 0.0000
Au2 Au 0.2500 0.2500 0.0000
Cu1 Cu 0.3123 0.8123 0.1246
Cu2 Cu 0.8123 0.6877 0.5000
Cu3 Cu 0.1877 0.3123 0.5000
Cu4 Cu 0.6877 0.1877 0.8754
# Offset from the most stable computed form: 3.64 kcal/mol of atoms



Entry 9:
# RbCd2In2Au2 GGA-PBE optimized geometry
data_RbCd2In2Au2
_symmetry_space_group_name_H-M 'P 1'
_symmetry_Int_Tables_number 1
_symmetry_space_group_name_Hall 'P 1'
_cell_length_a 4.8505
_cell_length_b 4.8505
_cell_length_c 10.2554
_cell_angle_alpha 76.32
_cell_angle_beta 76.32
_cell_angle_gamma 60.00
loop_
_atom_site_label
_atom_site_type_symbol
_atom_site_fract_x
_atom_site_fract_y
_atom_site_fract_z
Au1 Au 0.5756 0.5756 0.2731
Au2 Au 0.4244 0.4244 0.7269
In1 In 0.1337 0.1337 0.5988
In2 In 0.8663 0.8663 0.4012
Rb1 Rb 0.0000 0.0000 0.0000
Cd1 Cd 0.2439 0.2439 0.2683
Cd2 Cd 0.7561 0.7561 0.7317
# Calculated total energy: -2.272 eV/atom



Entry 10:
# NbHg2I GGA-PBE optimized geometry
data_NbHg2I
_symmetry_space_group_name_H-M 'P 1'
_symmetry_Int_Tables_number 1
_symmetry_space_group_name_Hall 'P 1'
_cell_length_a 5.3220
_cell_length_b 5.3220
_cell_length_c 5.3220
_cell_angle_alpha 60.00
_cell_angle_beta 60.00
_cell_angle_gamma 60.00
loop_
_atom_site_label
_atom_site_type_symbol
_atom_site_fract_x
_atom_site_fract_y
_atom_site_fract_z
Hg1 Hg 0.2500 0.2500 0.2500
Hg2 Hg 0.7500 0.7500 0.7500
I1 I 0.5000 0.5000 0.5000
Nb1 Nb 0.0000 0.0000 0.0000
# Offset from the most stable computed form: 7.48 kcal/mol of atoms
# Formation energy from raw total energies: 0.87 eV per atom



Entry 11:
# PuAlReRu GGA-PBE optimized geometry
data_PuAlReRu
_symmetry_space_group_name_H-M 'P 1'
_symmetry_Int_Tables_number 1
_symmetry_space_group_name_Hall 'P 1'
_cell_length_a 4.5396
_cell_length_b 4.5396
_cell_length_c 4.5396
_cell_angle_alpha 60.00
_cell_angle_beta 60.00
_cell_angle_gamma 60.00
loop_
_atom_site_label
_atom_site_type_symbol
_atom_site_fract_x
_atom_site_fract_y
_atom_site_fract_z
Re1 Re 0.7500 0.7500 0.7500
Pu1 Pu 0.0000 0.0000 0.0000
Al1 Al 0.5000 0.5000 0.5000
Ru1 Ru 0.2500 0.2500 0.2500
# Calculated total energy: -10.110 eV/atom



Entry 12:
# Pr6CuIr2Cl3 GGA-PBE optimized geometry
data_Pr6CuIr2Cl3
_symmetry_space_group_name_H-M 'P 1'
_symmetry_Int_Tables_number 1
_symmetry_space_group_name_Hall 'P 1'
_cell_length_a 7.2241
_cell_length_b 7.2241
_cell_length_c 7.9418
_cell_angle_alpha 98.73
_cell_angle_beta 98.73
_cell_angle_gamma 120.00
loop_
_atom_site_label
_atom_site_type_symbol
_atom_site_fract_x
_atom_site_fract_y
_atom_site_fract_z
Ir1 Ir 0.3335 0.6665 0.0000
Ir2 Ir 0.6665 0.3335 0.0000
Pr1 Pr 0.0691 0.4123 0.2074
Pr2 Pr 0.5877 0.9309 0.7926
Pr3 Pr 0.4123 0.0691 0.2074
Pr4 Pr 0.2740 0.2740 0.7921
Pr5 Pr 0.7260 0.7260 0.2079
Pr6 Pr 0.9309 0.5877 0.7926
Cl1 Cl 0.5000 0.5000 0.5000
Cl2 Cl 0.8313 0.1687 0.5000
Cl3 Cl 0.1687 0.8313 0.5000
Cu1 Cu 0.0000 0.0000 0.0000
# Formation energy from raw total energies: -1.05 eV per atom



no.,total magnetic moment (μB/cell)
1,0.00
2,0.00
3,2.47
4,0.00
5,0.00
6,1.27
7,0.00
8,0.00
9,0.00
10,3.58
11,3.72
12,0.00